(1)
Computed, not measured: a relaxed structure of Pd3Pb at the PBE level of DFT.

E = -5.062 eV/atom

a b c (Å): 4.7477 5.8712 4.9230
angles (deg): 90.00 90.00 90.00
Closest atoms and distances in Å follow each position.
Space group Pmmn (No. 59, origin choice 2)
One atom of each set of equivalent atoms:
Pd: 0.2500 0.9998 0.1842 (multiplicity 4)  8 Pd 2.83-2.99, 4 Pb 2.86-2.87
Pd: 0.2500 0.2500 0.6932 (multiplicity 2)  8 Pd 2.83-2.90, 4 Pb 2.94-3.02
Pb: 0.2500 0.7500 0.6860 (multiplicity 2)  12 Pd 2.86-3.02

---

(2)
Computed, not measured: a relaxed structure of Rb2Hg3Te4 at the PBE level of DFT.

E = -2.208 eV/atom

a b c (Å): 12.3484 7.3514 14.5969
angles (deg): 90.00 90.00 90.00
Closest atoms and distances in Å follow each position.
Space group Pbcn (No. 60)
One atom of each set of equivalent atoms:
Rb: 0.1358 0.1623 0.0426 (multiplicity 8)  7 Te 3.69-4.07, 2 Hg 3.87-3.91
Hg: 0.0000 0.3989 0.2500 (multiplicity 4)  4 Te 2.90
Hg: 0.1566 0.1614 0.7548 (multiplicity 8)  3 Te 2.75-2.96
Te: 0.0761 0.3547 0.6085 (multiplicity 8)  2 Hg 2.75-2.90
Te: 0.1540 0.1689 0.3452 (multiplicity 8)  3 Hg 2.76-2.96

---

(3)
Computed, not measured: a relaxed structure of CuAg3 at the PBE level of DFT.

E_form = 1.02 kcal/mol of atoms

a b c (Å): 9.6344 2.8987 9.6911
angles (deg): 90.00 103.44 90.00
Closest atoms and distances in Å follow each position.
Space group C2/m (No. 12)
One atom of each set of equivalent atoms:
Cu: 0.1476 0.0000 0.4391 (multiplicity 4)  2 Cu 2.51, 6 Ag 2.71-2.73
Ag: 0.0962 0.5000 0.6585 (multiplicity 4)  5 Cu 2.71-2.84, 7 Ag 2.90-2.98
Ag: 0.1194 0.0000 0.9314 (multiplicity 4)  12 Ag 2.88-2.98
Ag: 0.1418 0.5000 0.2011 (multiplicity 4)  2 Cu 2.71, 10 Ag 2.88-2.95

---

(4)
Computed, not measured: a relaxed structure of Sr2Al4CuPt at the PBE level of DFT.

Spin magnetization = 0.0 μB/f.u.
E = -4.059 eV/atom

a b c (Å): 7.3061 4.2008 11.4547
angles (deg): 90.00 90.00 90.00
Closest atoms and distances in Å follow each position.
Space group Amm2 (No. 38)
One atom of each set of equivalent atoms:
Sr: 0.0000 0.0000 0.0000 (multiplicity 2)  3 Cu 3.13-3.34, 6 Al 3.42-3.45
Sr: 0.5000 0.0000 0.0971 (multiplicity 2)  3 Pt 3.12-3.35, 6 Al 3.43
Al: 0.1868 0.0000 0.7233 (multiplicity 4)  1 Pt 2.57, 2 Cu 2.57, 3 Al 2.73-2.84
Al: 0.3083 0.0000 0.3705 (multiplicity 4)  1 Cu 2.51, 2 Pt 2.58, 1 Al 2.80
Cu: 0.0000 0.0000 0.2736 (multiplicity 2)  6 Al 2.51-2.57
Pt: 0.5000 0.0000 0.8250 (multiplicity 2)  6 Al 2.57-2.58

---

(5)
Computed, not measured: a relaxed structure of SrSmZn2Se2O2 at the PBE level of DFT.

Spin magnetization = 0.6 μB/f.u.
E = -4.907 eV/atom

a b c (Å): 4.0692 4.0692 11.2795
angles (deg): 90.00 90.00 120.00
Closest atoms and distances in Å follow each position.
Space group P3m1 (No. 156)
One atom of each set of equivalent atoms:
Sr: 0.0000 0.0000 0.0000 (multiplicity 1)  3 O 2.44
Sm: 0.3333 0.6667 0.4947 (multiplicity 1)  3 O 2.38
Zn: 0.6667 0.3333 0.2829 (multiplicity 1)  1 O 2.01
Zn: 0.6667 0.3333 0.7705 (multiplicity 1)  1 O 1.92
Se: 0.0000 0.0000 0.6872 (multiplicity 1)  3 Zn 2.53
Se: 0.3333 0.6667 0.2144 (multiplicity 1)  3 Zn 2.47
O: 0.6667 0.3333 0.4610 (multiplicity 1)  1 Zn 2.01
O: 0.6667 0.3333 0.9411 (multiplicity 1)  1 Zn 1.92

---

(6)
Computed, not measured: a relaxed structure of ErTlCoTe3 at the PBE level of DFT.

ΔE to the lowest computed polymorph = 0.00 eV per formula unit
Spin magnetization = 2.4 μB/f.u.

a b c (Å): 4.1533 15.9699 11.1243
angles (deg): 90.00 90.00 90.00
Closest atoms and distances in Å follow each position.
Space group Cmcm (No. 63)
One atom of each set of equivalent atoms:
Er: 0.0000 0.0000 0.0000 (multiplicity 4)  6 Te 3.02-3.03
Tl: 0.0000 0.2474 0.2500 (multiplicity 4)  6 Te 3.44-3.54
Co: 0.0000 0.4742 0.7500 (multiplicity 4)  4 Te 2.58-2.61
Te: 0.0000 0.0732 0.7500 (multiplicity 4)  2 Co 2.61
Te: 0.0000 0.3709 0.5717 (multiplicity 8)  1 Co 2.58

---

(7)
Computed, not measured: a relaxed structure of CdSbO3 at the PBE level of DFT.

E = -5.142 eV/atom

a b c (Å): 5.7671 8.0951 5.6004
angles (deg): 90.00 90.00 90.00
Closest atoms and distances in Å follow each position.
Space group Pnma (No. 62)
One atom of each set of equivalent atoms:
Cd: 0.0480 0.2500 0.0123 (multiplicity 4)  4 O 2.29-2.36
Sb: 0.0000 0.0000 0.5000 (multiplicity 4)  6 O 2.12-2.16
O: 0.0636 0.7500 0.3802 (multiplicity 4)  2 Sb 2.16, 2 Cd 2.29-2.36
O: 0.1950 0.5638 0.8089 (multiplicity 8)  2 Sb 2.12-2.13, 1 Cd 2.29

---

(8)
Computed, not measured: a relaxed structure of Y3Ho4Ni2Te2 at the PBE level of DFT.

Spin magnetization = 0.0 μB/f.u.
E = -5.698 eV/atom

a b c (Å): 3.8644 15.7121 9.5348
angles (deg): 90.00 90.00 90.00
Closest atoms and distances in Å follow each position.
Space group Imm2 (No. 44)
One atom of each set of equivalent atoms:
Y: 0.0000 0.0000 0.0000 (multiplicity 2)  3 Te 3.18-3.23
Y: 0.0000 0.3537 0.2668 (multiplicity 4)  2 Ni 2.87, 2 Te 3.17
Ho: 0.0000 0.1323 0.4160 (multiplicity 4)  2 Ni 2.80, 1 Te 3.13
Ho: 0.0000 0.3150 0.6195 (multiplicity 4)  2 Ni 2.78
Ni: 0.0000 0.2389 0.9292 (multiplicity 4)  4 Ho 2.78-2.80, 2 Y 2.87
Te: 0.0000 0.0000 0.6617 (multiplicity 2)  2 Ho 3.13, 5 Y 3.17-3.23
Te: 0.0000 0.5000 0.7644 (multiplicity 2)  2 Y 3.18, 6 Ho 3.19-3.22